[1]
DFT (SCAN) results for Zr5Te4P2 at its PBEsol-relaxed geometry.

Results
The value obtained for the final energy is -336.593 eV/cell. As for the space group: R-3m, No. 166. For the density of states at the Fermi level, the calculation gives 0.246 states/eV per atom.

Geometry as CIF:
```
data_Zr5Te4P2
_chemical_formula_sum 'Zr5 Te4 P2'
_space_group_name_H-M_alt 'P 1'
_space_group_IT_number 1
_space_group_name_Hall 'P 1'
_cell_length_a 3.762
_cell_length_b 3.762
_cell_length_c 20.391
_cell_angle_alpha 84.71
_cell_angle_beta 84.71
_cell_angle_gamma 60.00
loop_
_atom_site_label
_atom_site_fract_x
_atom_site_fract_y
_atom_site_fract_z
Zr1 0.564 0.564 0.307
Zr2 0.057 0.057 0.830
Zr3 0.436 0.436 0.693
Zr4 0.943 0.943 0.170
Zr5 0.500 0.500 0.500
Te1 0.865 0.865 0.406
Te2 0.358 0.358 0.925
Te3 0.135 0.135 0.594
Te4 0.642 0.642 0.075
P1 0.746 0.746 0.761
P2 0.254 0.254 0.239
```

---

[2]
DFT (SCAN) results for InRuBr2 at its PBEsol-relaxed geometry.

Results
As for the space group: R-3m, No. 166. For the density of states at the Fermi level, the calculation gives 0.697 states/eV per atom. The excess energy over the best structure of this formula in the dataset comes out at 307.1 meV per atom.

Geometry as CIF:
```
data_InRuBr2
_chemical_formula_sum 'In1 Ru1 Br2'
_space_group_name_H-M_alt 'P 1'
_space_group_IT_number 1
_space_group_name_Hall 'P 1'
_cell_length_a 3.160
_cell_length_b 3.160
_cell_length_c 10.242
_cell_angle_alpha 81.13
_cell_angle_beta 81.13
_cell_angle_gamma 60.00
loop_
_atom_site_label
_atom_site_fract_x
_atom_site_fract_y
_atom_site_fract_z
Ru1 0.000 0.000 0.000
Br1 0.923 0.923 0.231
Br2 0.077 0.077 0.769
In1 0.500 0.500 0.500
```

---

[3]
DFT (SCAN) results for Mn2ZnSb at its PBEsol-relaxed geometry.

Results
As for the space group: P4/mmm, No. 123. For the density of states at the Fermi level, the calculation gives 0.399 states/eV per atom. The excess energy over the best structure of this formula in the dataset comes out at 55.6 meV per atom.

Geometry as CIF:
```
data_Mn2ZnSb
_chemical_formula_sum 'Mn2 Zn1 Sb1'
_space_group_name_H-M_alt 'P 1'
_space_group_IT_number 1
_space_group_name_Hall 'P 1'
_cell_length_a 3.288
_cell_length_b 3.288
_cell_length_c 5.555
_cell_angle_alpha 90.00
_cell_angle_beta 90.00
_cell_angle_gamma 90.00
loop_
_atom_site_label
_atom_site_fract_x
_atom_site_fract_y
_atom_site_fract_z
Mn1 0.000 0.000 0.744
Mn2 0.000 0.000 0.256
Sb1 0.500 0.500 0.000
Zn1 0.500 0.500 0.500
```

---

[4]
DFT (SCAN) results for KBa2Mn at its PBEsol-relaxed geometry.

Results
As for the space group: Fm-3m, No. 225. As for the energy of formation: 31.7 kJ/mol of atoms. For the density of states at the Fermi level, the calculation gives 1.612 states/eV per atom. The excess energy over the best structure of this formula in the dataset comes out at 0.0 meV per atom.

Geometry as CIF:
```
data_KBa2Mn
_chemical_formula_sum 'K1 Ba2 Mn1'
_space_group_name_H-M_alt 'P 1'
_space_group_IT_number 1
_space_group_name_Hall 'P 1'
_cell_length_a 6.184
_cell_length_b 6.184
_cell_length_c 6.184
_cell_angle_alpha 60.00
_cell_angle_beta 60.00
_cell_angle_gamma 60.00
loop_
_atom_site_label
_atom_site_fract_x
_atom_site_fract_y
_atom_site_fract_z
Ba1 0.250 0.250 0.250
Ba2 0.750 0.750 0.750
K1 0.000 0.000 0.000
Mn1 0.500 0.500 0.500
```

---

[5]
DFT (SCAN) results for MnCu2Sb at its PBEsol-relaxed geometry.

Results
The value obtained for the final energy is -85.631 eV/cell. As for the space group: Pmmm, No. 47. For the density of states at the Fermi level, the calculation gives 0.383 states/eV per atom.

Geometry as CIF:
```
data_MnCu2Sb
_chemical_formula_sum 'Mn1 Cu2 Sb1'
_space_group_name_H-M_alt 'P 1'
_space_group_IT_number 1
_space_group_name_Hall 'P 1'
_cell_length_a 2.877
_cell_length_b 4.126
_cell_length_c 5.233
_cell_angle_alpha 90.00
_cell_angle_beta 90.04
_cell_angle_gamma 90.00
loop_
_atom_site_label
_atom_site_fract_x
_atom_site_fract_y
_atom_site_fract_z
Cu1 0.000 0.000 0.719
Cu2 0.000 0.000 0.281
Mn1 0.500 0.500 0.500
Sb1 0.000 0.500 0.000
```

---

[6]
DFT (SCAN) results for La5Mg at its PBEsol-relaxed geometry.

Results
As for the space group: Cm, No. 8. As for the energy of formation: -2.0 kJ/mol of atoms. For the density of states at the Fermi level, the calculation gives 1.245 states/eV per atom. The excess energy over the best structure of this formula in the dataset comes out at 22.7 meV per atom.

Geometry as CIF:
```
data_La5Mg
_chemical_formula_sum 'La5 Mg1'
_space_group_name_H-M_alt 'P 1'
_space_group_IT_number 1
_space_group_name_Hall 'P 1'
_cell_length_a 3.633
_cell_length_b 6.284
_cell_length_c 9.739
_cell_angle_alpha 113.29
_cell_angle_beta 90.00
_cell_angle_gamma 106.80
loop_
_atom_site_label
_atom_site_fract_x
_atom_site_fract_y
_atom_site_fract_z
Mg1 0.697 0.393 0.891
La1 0.033 0.067 0.046
La2 0.692 0.384 0.386
La3 0.354 0.707 0.727
La4 0.361 0.723 0.216
La5 0.030 0.059 0.568
```

---

[7]
DFT (SCAN) results for KBa2Ge2 at its PBEsol-relaxed geometry.

Results
As for the space group: P4/mbm, No. 127. As for the energy of formation: -38.7 kJ/mol of atoms. For the density of states at the Fermi level, the calculation gives 0.549 states/eV per atom.

Geometry as CIF:
```
data_KBa2Ge2
_chemical_formula_sum 'K2 Ba4 Ge4'
_space_group_name_H-M_alt 'P 1'
_space_group_IT_number 1
_space_group_name_Hall 'P 1'
_cell_length_a 4.681
_cell_length_b 8.720
_cell_length_c 8.720
_cell_angle_alpha 90.00
_cell_angle_beta 90.00
_cell_angle_gamma 90.00
loop_
_atom_site_label
_atom_site_fract_x
_atom_site_fract_y
_atom_site_fract_z
K1 0.000 0.000 0.000
K2 0.000 0.500 0.500
Ge1 0.000 0.399 0.899
Ge2 0.000 0.899 0.601
Ge3 0.000 0.601 0.101
Ge4 0.000 0.101 0.399
Ba1 0.500 0.176 0.676
Ba2 0.500 0.676 0.824
Ba3 0.500 0.824 0.324
Ba4 0.500 0.324 0.176
```

---

[8]
DFT (SCAN) results for MnCo2As at its PBEsol-relaxed geometry.

Results
As for the space group: F-43m, No. 216. As for the energy of formation: 2.3 kJ/mol of atoms. For the density of states at the Fermi level, the calculation gives 0.770 states/eV per atom.

Geometry as CIF:
```
data_MnCo2As
_chemical_formula_sum 'Mn1 Co2 As1'
_space_group_name_H-M_alt 'P 1'
_space_group_IT_number 1
_space_group_name_Hall 'P 1'
_cell_length_a 3.965
_cell_length_b 3.965
_cell_length_c 3.965
_cell_angle_alpha 60.00
_cell_angle_beta 60.00
_cell_angle_gamma 60.00
loop_
_atom_site_label
_atom_site_fract_x
_atom_site_fract_y
_atom_site_fract_z
As1 0.500 0.500 0.500
Co1 0.000 0.000 0.000
Co2 0.750 0.750 0.750
Mn1 0.250 0.250 0.250
```

---

[9]
DFT (SCAN) results for RePOs2 at its PBEsol-relaxed geometry.

Results
As for the space group: P4/mmm, No. 123. As for the energy of formation: 60.7 kJ/mol of atoms. For the density of states at the Fermi level, the calculation gives 1.173 states/eV per atom.

Geometry as CIF:
```
data_RePOs2
_chemical_formula_sum 'Re1 P1 Os2'
_space_group_name_H-M_alt 'P 1'
_space_group_IT_number 1
_space_group_name_Hall 'P 1'
_cell_length_a 2.815
_cell_length_b 4.455
_cell_length_c 4.455
_cell_angle_alpha 90.00
_cell_angle_beta 90.00
_cell_angle_gamma 90.00
loop_
_atom_site_label
_atom_site_fract_x
_atom_site_fract_y
_atom_site_fract_z
Os1 0.000 0.000 0.500
Os2 0.000 0.500 0.000
P1 0.500 0.500 0.500
Re1 0.500 0.000 0.000
```

---

[10]
DFT (SCAN) results for TaIn2Pb at its PBEsol-relaxed geometry.

Results
As for the space group: F-43m, No. 216. As for the energy of formation: 75.3 kJ/mol of atoms. For the density of states at the Fermi level, the calculation gives 0.829 states/eV per atom.

Geometry as CIF:
```
data_TaIn2Pb
_chemical_formula_sum 'Ta1 In2 Pb1'
_space_group_name_H-M_alt 'P 1'
_space_group_IT_number 1
_space_group_name_Hall 'P 1'
_cell_length_a 5.066
_cell_length_b 5.066
_cell_length_c 5.066
_cell_angle_alpha 60.00
_cell_angle_beta 60.00
_cell_angle_gamma 60.00
loop_
_atom_site_label
_atom_site_fract_x
_atom_site_fract_y
_atom_site_fract_z
In1 0.000 0.000 0.000
In2 0.250 0.250 0.250
Pb1 0.500 0.500 0.500
Ta1 0.750 0.750 0.750
```

---

[11]
DFT (SCAN) results for TaAgPt2 at its PBEsol-relaxed geometry.

Results
As for the space group: F-43m, No. 216. As for the energy of formation: -15.1 kJ/mol of atoms. For the density of states at the Fermi level, the calculation gives 0.871 states/eV per atom.

Geometry as CIF:
```
data_TaAgPt2
_chemical_formula_sum 'Ta1 Ag1 Pt2'
_space_group_name_H-M_alt 'P 1'
_space_group_IT_number 1
_space_group_name_Hall 'P 1'
_cell_length_a 4.475
_cell_length_b 4.475
_cell_length_c 4.475
_cell_angle_alpha 60.00
_cell_angle_beta 60.00
_cell_angle_gamma 60.00
loop_
_atom_site_label
_atom_site_fract_x
_atom_site_fract_y
_atom_site_fract_z
Ag1 0.500 0.500 0.500
Pt1 0.000 0.000 0.000
Pt2 0.750 0.750 0.750
Ta1 0.250 0.250 0.250
```